This record from Alexandria via LeMat-Bulk describes a relaxed structure of HfBeAg. The functional is PBE.

Summary:
Formation energy   -7.0 kJ/mol of atoms
N(E_F)   1.5 states/eV/f.u.

Cell: 7.165 3.323 9.933 Å, 90.00 126.39 90.00°
Sites, in units of the cell vectors:
Ag: 0.917 0.000 0.823
Be: 0.357 0.000 0.872
Be: 0.357 0.500 0.372
Hf: 0.330 0.500 0.082
Hf: 0.670 0.500 0.918
Ag: 0.917 0.500 0.323
Hf: 0.670 0.000 0.418
Be: 0.643 0.500 0.628
Ag: 0.083 0.500 0.677
Hf: 0.330 0.000 0.582
Ag: 0.083 0.000 0.177
Be: 0.643 0.000 0.128

This record from Alexandria via LeMat-Bulk describes a relaxed structure of Sc2NiH. The functional is PBE.

Summary:
E_tot   -5.5846 eV per atom
N(E_F)   3.2 states/eV/f.u.

Cell: 2.991 2.991 6.484 Å, 90.00 90.00 90.00°
Sites, in units of the cell vectors:
Ni: 0.500 0.500 0.500
H: 0.500 0.500 0.000
Sc: 0.000 0.000 0.242
Sc: 0.000 0.000 0.758